# Hf3CoO PBE with a Hubbard U relaxed
# * uncorrected energy: -9.08 eV/atom
# * space group: No. 63
data_Hf3CoO
_symmetry_space_group_name_H-M 'P 1'
_symmetry_Int_Tables_number 1
_cell_length_a 5.702
_cell_length_b 5.702
_cell_length_c 8.672
_cell_angle_alpha 90.00
_cell_angle_beta 90.00
_cell_angle_gamma 146.81
loop_
_symmetry_equiv_pos_as_xyz
'x,y,z'
loop_
_atom_site_label
_atom_site_fract_x
_atom_site_fract_y
_atom_site_fract_z
O1 0.500 0.500 0.000
O2 0.500 0.500 0.500
Co1 0.251 0.749 0.250
Co2 0.749 0.251 0.750
Hf1 0.139 0.861 0.563
Hf2 0.435 0.565 0.750
Hf3 0.861 0.139 0.063
Hf4 0.861 0.139 0.437
Hf5 0.565 0.435 0.250
Hf6 0.139 0.861 0.937

# Sr2HfCoO6 PBE with a Hubbard U relaxed
# * uncorrected energy: -7.27 eV/atom
# * space group: No. 139
data_Sr2HfCoO6
_symmetry_space_group_name_H-M 'P 1'
_symmetry_Int_Tables_number 1
_cell_length_a 5.528
_cell_length_b 5.528
_cell_length_c 5.528
_cell_angle_alpha 119.73
_cell_angle_beta 119.73
_cell_angle_gamma 90.48
loop_
_symmetry_equiv_pos_as_xyz
'x,y,z'
loop_
_atom_site_label
_atom_site_fract_x
_atom_site_fract_y
_atom_site_fract_z
O1 0.240 0.760 0.000
O2 0.238 0.238 0.000
O3 0.240 0.240 0.480
O4 0.760 0.240 0.000
O5 0.762 0.762 0.000
O6 0.760 0.760 0.520
Sr1 0.750 0.250 0.500
Sr2 0.250 0.750 0.500
Co1 0.000 0.000 0.000
Hf1 0.500 0.500 0.000